Below is a relaxed Er3As2Se crystal, with properties calculated at the GGA-PBE level.

Geometry as POSCAR:
```
Er3As2Se
1.0
-2.033 2.869 6.092
2.033 -2.869 6.092
2.033 2.869 -6.092
Er As Se
3 2 1
direct
0.000 0.000 0.000
0.327 0.327 0.000
0.673 0.673 0.000
0.165 0.665 0.500
0.835 0.335 0.500
0.500 0.000 0.500
```

## Properties
Its total energy is -6.06 eV/atom. For the relative energy among the computed polymorphs, the calculation gives 0 kJ/mol of formula units.